{
  "formula": "DyTe",
  "functional": "PBE-GGA",
  "state": "optimized geometry",
  "final_energy_ev_per_atom": -5.150,
  "magmom_total_mub_per_cell": 0.00,
  "cell": [[0.000, 3.074, 3.074], [3.074, 0.000, 3.074], [3.074, 3.074, 0.000]],
  "species": ["Te", "Dy"],
  "frac_coords": [[0.500, 0.500, 0.500], [0.000, 0.000, 0.000]]
}